This record from the Alexandria database describes an optimized crystal structure of MnCr2PbC. The functional is PBE.

## Properties
**D(E_F)**: 3.2 states/eV/cell
**Formation energy**: 1.954 eV/atom

Cell: 4.4106 4.4106 4.9888 Å, 90.00 90.00 90.00°
With the nearest neighbours (Å) after each atom.
Fractional coordinates of all 5 atoms:
Mn1 0.0000 0.0000 0.0000  4 Cr 2.21
Cr1 0.0000 0.5000 0.0000  2 Mn 2.21
Cr2 0.5000 0.0000 0.0000  2 Mn 2.21
Pb1 0.0000 0.0000 0.5000  2 Mn 2.49
C1 0.5000 0.5000 0.5000  4 Pb 3.12, 8 Cr 3.33